# Tl2AgCl4 PBE relaxed
data_Tl2AgCl4
_cell_length_a 7.387
_cell_length_b 7.387
_cell_length_c 4.218
_cell_angle_alpha 90.00
_cell_angle_beta 90.00
_cell_angle_gamma 90.00
_space_group_name_H-M_alt 'P 4/m m m'
_space_group_IT_number 123
_space_group_name_Hall '-P 4 2'
loop_
_atom_site_label
_atom_site_fract_x
_atom_site_fract_y
_atom_site_fract_z
Tl1 0.000 0.500 0.000
Ag1 0.000 0.000 0.500
Cl1 0.236 0.236 0.500
# Raw total energy in eV per formula unit: -20.13
# ΔE_f (raw) in eV/atom: -0.7373


# BaNd5 PBE relaxed
data_BaNd5
_cell_length_a 5.310
_cell_length_b 16.049
_cell_length_c 5.349
_cell_angle_alpha 90.00
_cell_angle_beta 90.00
_cell_angle_gamma 90.00
_space_group_name_H-M_alt 'C m m m'
_space_group_IT_number 65
_space_group_name_Hall '-C 2 2'
loop_
_atom_site_label
_atom_site_fract_x
_atom_site_fract_y
_atom_site_fract_z
Ba1 0.000 0.000 0.000
Nd1 0.000 0.173 0.500
Nd2 0.000 0.326 0.000
Nd3 0.000 0.500 0.500
# Raw total energy in eV per formula unit: -25.05


# TaBi2Mo2 PBE relaxed
data_TaBi2Mo2
_cell_length_a 7.880
_cell_length_b 7.880
_cell_length_c 3.288
_cell_angle_alpha 90.00
_cell_angle_beta 90.00
_cell_angle_gamma 90.00
_space_group_name_H-M_alt 'P 4/m b m'
_space_group_IT_number 127
_space_group_name_Hall '-P 4 2ab'
loop_
_atom_site_label
_atom_site_fract_x
_atom_site_fract_y
_atom_site_fract_z
Ta1 0.000 0.000 0.000
Bi1 0.157 0.343 0.000
Mo1 0.140 0.640 0.500
# Raw total energy in eV per formula unit: -36.54
# Energy above the lowest structure with this stoichiometry in kJ/mol of formula units: 0


# PrAgPd PBE relaxed
data_PrAgPd
_cell_length_a 3.964
_cell_length_b 14.614
_cell_length_c 5.324
_cell_angle_alpha 90.00
_cell_angle_beta 90.00
_cell_angle_gamma 90.00
_space_group_name_H-M_alt 'C m c m'
_space_group_IT_number 63
_space_group_name_Hall '-C 2c 2'
loop_
_atom_site_label
_atom_site_fract_x
_atom_site_fract_y
_atom_site_fract_z
Pr1 0.000 0.118 0.250
Ag1 0.000 0.331 0.250
Pd1 0.000 0.500 0.000
# Raw total energy in eV per formula unit: -13.75
# Energy above the lowest structure with this stoichiometry in kJ/mol of formula units: 78


# CsScS2N PBE relaxed
data_CsScS2N
_cell_length_a 5.163
_cell_length_b 5.163
_cell_length_c 4.581
_cell_angle_alpha 90.00
_cell_angle_beta 90.00
_cell_angle_gamma 90.00
_space_group_name_H-M_alt 'P 4/m m m'
_space_group_IT_number 123
_space_group_name_Hall '-P 4 2'
loop_
_atom_site_label
_atom_site_fract_x
_atom_site_fract_y
_atom_site_fract_z
Cs1 0.000 0.000 0.000
Sc1 0.500 0.500 0.500
S1 0.000 0.500 0.500
N1 0.500 0.500 0.000
# Raw total energy in eV per formula unit: -25.90
# Energy above the lowest structure with this stoichiometry in kJ/mol of formula units: 0
# ΔE_f (raw) in eV/atom: -0.4259


# NaBi4S6 PBE relaxed
data_NaBi4S6
_cell_length_a 4.273
_cell_length_b 13.222
_cell_length_c 20.540
_cell_angle_alpha 90.00
_cell_angle_beta 90.00
_cell_angle_gamma 90.00
_space_group_name_H-M_alt 'C m c m'
_space_group_IT_number 63
_space_group_name_Hall '-C 2c 2'
loop_
_atom_site_label
_atom_site_fract_x
_atom_site_fract_y
_atom_site_fract_z
Na1 0.000 0.162 0.250
Bi1 0.000 0.099 0.638
Bi2 0.000 0.366 0.546
S1 0.000 0.000 0.000
S2 0.000 0.198 0.750
S3 0.000 0.261 0.084
S4 0.000 0.469 0.662
# Raw total energy in eV per formula unit: -46.42
# ΔE_f (raw) in eV/atom: -0.4376


# CeSm2CdHg4 PBE relaxed
data_CeSm2CdHg4
_cell_length_a 5.2050
_cell_length_b 5.2050
_cell_length_c 27.1031
_cell_angle_alpha 90.00
_cell_angle_beta 90.00
_cell_angle_gamma 120.00
_space_group_name_H-M_alt 'R -3 m'
_space_group_IT_number 166
_space_group_name_Hall '-R 3 2"'
loop_
_atom_site_label
_atom_site_fract_x
_atom_site_fract_y
_atom_site_fract_z
Ce1 0.0000 0.0000 0.0000
Sm1 0.0000 0.0000 0.2405
Cd1 0.0000 0.0000 0.5000
Hg1 0.0000 0.0000 0.1233
Hg2 0.0000 0.0000 0.3729
# Raw total energy in eV per formula unit: -20.49


# La12SmIn3 PBE relaxed
data_La12SmIn3
_cell_length_a 5.090
_cell_length_b 5.090
_cell_length_c 20.582
_cell_angle_alpha 90.00
_cell_angle_beta 90.00
_cell_angle_gamma 90.00
_space_group_name_H-M_alt 'P 4/m m m'
_space_group_IT_number 123
_space_group_name_Hall '-P 4 2'
loop_
_atom_site_label
_atom_site_fract_x
_atom_site_fract_y
_atom_site_fract_z
La1 0.000 0.000 0.000
La2 0.000 0.000 0.245
La3 0.000 0.000 0.500
La4 0.000 0.500 0.123
La5 0.000 0.500 0.370
Sm1 0.500 0.500 0.500
In1 0.500 0.500 0.000
In2 0.500 0.500 0.245
# Raw total energy in eV per formula unit: -75.52


Copy entry 5 word for word.
# CsScS2N PBE relaxed
data_CsScS2N
_cell_length_a 5.163
_cell_length_b 5.163
_cell_length_c 4.581
_cell_angle_alpha 90.00
_cell_angle_beta 90.00
_cell_angle_gamma 90.00
_space_group_name_H-M_alt 'P 4/m m m'
_space_group_IT_number 123
_space_group_name_Hall '-P 4 2'
loop_
_atom_site_label
_atom_site_fract_x
_atom_site_fract_y
_atom_site_fract_z
Cs1 0.000 0.000 0.000
Sc1 0.500 0.500 0.500
S1 0.000 0.500 0.500
N1 0.500 0.500 0.000
# Raw total energy in eV per formula unit: -25.90
# Energy above the lowest structure with this stoichiometry in kJ/mol of formula units: 0
# ΔE_f (raw) in eV/atom: -0.4259